The following is a DFT calculation (PBE) of an optimized crystal structure of TcAs3Ru.

a = 4.7379 Å, b = 4.7379 Å, c = 4.7379 Å
α = 90.00°, β = 90.00°, γ = 90.00°
Fractional positions:
As1 0.5000 0.0000 0.0000
As2 0.0000 0.5000 0.0000
As3 0.0000 0.0000 0.5000
Ru1 0.5000 0.5000 0.5000
Tc1 0.0000 0.0000 0.0000

Summary:
V: 106.36 Å³/cell
Polymorph energy (0 for the lowest one): 0.000 eV/atom
Total DFT energy (no corrections): -5.691 eV/atom
M_tot: 0.69 Bohr magnetons per cell
Energy of formation: 5.1 eV per formula unit


The following is a DFT calculation (PBE) of an optimized crystal structure of TcAsRu2.

a = 3.9712 Å, b = 2.8138 Å, c = 5.3587 Å
α = 74.81°, β = 90.00°, γ = 90.00°
Fractional positions:
As1 0.5000 0.9511 0.7273
Ru1 0.0000 0.8110 0.0013
Ru2 0.5000 0.1840 0.2552
Tc1 0.0000 0.5539 0.5161

Summary:
V: 57.79 Å³/cell
Total DFT energy (no corrections): -8.341 eV/atom
M_tot: 0.00 Bohr magnetons per cell
Energy of formation: 0.2 eV per formula unit